Below is a geometry-optimized SmNi9Sn2 structure, with properties calculated at the GGA-PBE level.

The structure belongs to space group P4/mbm (No. 127); the cell edges are 8.236, 8.236 and 4.898 Å and the angles 90.00°, 90.00° and 90.00°. The asymmetric unit holds Sm at (0.000, 0.000, 0.000), Ni at (0.000, 0.500, 0.500), Ni at (0.066, 0.206, 0.500), Ni at (0.174, 0.674, 0.246) and Sn at (0.128, 0.372, 0.000).

The calculation puts the size of the total moment at 0.00 μB/f.u. The calculation puts the calculated volume at 13.84 A^3/atom. For the formation enthalpy at 0 K, the calculation gives -0.24 eV/atom.